# NdTh4Sn15, optimized geometry, DFT PBE
data_NdTh4Sn15
_chemical_formula_sum 'Nd1 Th4 Sn15'
_space_group_name_H-M_alt 'P 1'
_space_group_IT_number 1
_cell_length_a 4.7839
_cell_length_b 4.7839
_cell_length_c 23.5149
_cell_angle_alpha 90.00
_cell_angle_beta 90.00
_cell_angle_gamma 90.00
loop_
_space_group_symop_operation_xyz
'x,y,z'
loop_
_atom_site_label
_atom_site_type_symbol
_atom_site_fract_x
_atom_site_fract_y
_atom_site_fract_z
Nd1 Nd 0.0000 0.0000 0.0000
Th1 Th 0.0000 0.0000 0.2016
Th2 Th 0.0000 0.0000 0.4001
Th3 Th 0.0000 0.0000 0.5999
Th4 Th 0.0000 0.0000 0.7984
Sn1 Sn 0.0000 0.5000 0.1006
Sn2 Sn 0.0000 0.5000 0.3004
Sn3 Sn 0.0000 0.5000 0.5000
Sn4 Sn 0.0000 0.5000 0.6996
Sn5 Sn 0.0000 0.5000 0.8994
Sn6 Sn 0.5000 0.0000 0.1006
Sn7 Sn 0.5000 0.0000 0.3004
Sn8 Sn 0.5000 0.0000 0.5000
Sn9 Sn 0.5000 0.0000 0.6996
Sn10 Sn 0.5000 0.0000 0.8994
Sn11 Sn 0.5000 0.5000 0.0000
Sn12 Sn 0.5000 0.5000 0.1995
Sn13 Sn 0.5000 0.5000 0.4001
Sn14 Sn 0.5000 0.5000 0.5999
Sn15 Sn 0.5000 0.5000 0.8005
# energy of formation = -0.451 eV/atom
# final energy = -103.50 eV for the cell shown